Material: BaSrZr2
Method: DFT, GGA-PBE
State: optimized geometry

Summary:
ΔE to the lowest computed polymorph (kJ/mol of formula units): 193.7
DFT formation energy (eV/atom): 0.842

a b c (Å): 4.335 4.335 7.828
angles (deg): 90.00 90.00 90.00
Site moments in Bohr magnetons follow the coordinates.
Element x y z (fractional)
Ba: 0.500 0.500 0.250  0.01
Sr: 0.500 0.500 0.750  0.01
Zr: 0.000 0.000 0.925  0.20
Zr: 0.000 0.000 0.575  0.20


Material: BaSrZr2
Method: DFT, GGA-PBE
State: optimized geometry

Summary:
ΔE to the lowest computed polymorph (kJ/mol of formula units): 126.1
DFT formation energy (eV/atom): 0.667

a b c (Å): 6.356 6.356 6.560
angles (deg): 84.20 84.20 30.88
Element x y z (fractional)
Ba: 0.750 0.750 0.750
Sr: 0.250 0.250 0.250
Zr: 0.998 0.998 0.052
Zr: 0.502 0.502 0.448


Material: BaSrZr2
Method: DFT, GGA-PBE
State: optimized geometry

Summary:
ΔE to the lowest computed polymorph (kJ/mol of formula units): 127.2
DFT formation energy (eV/atom): 0.670

a b c (Å): 6.114 3.322 6.934
angles (deg): 76.88 90.00 90.00
Element x y z (fractional)
Ba: 0.500 0.250 0.250
Sr: 0.500 0.750 0.750
Zr: 0.000 0.930 0.941
Zr: 0.000 0.570 0.559


Material: BaTa3
Method: DFT, GGA-PBE
State: optimized geometry

Summary:
ΔE to the lowest computed polymorph (kJ/mol of formula units): 66.1
DFT formation energy (eV/atom): 0.777

a b c (Å): 2.944 2.944 10.762
angles (deg): 90.00 90.00 90.00
Element x y z (fractional)
Ba: 0.000 0.000 0.000
Ta: 0.500 0.500 0.703
Ta: 0.000 0.000 0.500
Ta: 0.500 0.500 0.297


Material: BaTa3
Method: DFT, GGA-PBE
State: optimized geometry

Summary:
ΔE to the lowest computed polymorph (kJ/mol of formula units): 224.8
DFT formation energy (eV/atom): 1.188

a b c (Å): 4.973 4.973 4.973
angles (deg): 60.00 60.00 60.00
Element x y z (fractional)
Ba: 0.000 0.000 0.000
Ta: 0.250 0.250 0.250
Ta: 0.500 0.500 0.500
Ta: 0.750 0.750 0.750


Material: Ba2Ta
Method: DFT, GGA-PBE
State: optimized geometry

Summary:
ΔE to the lowest computed polymorph (kJ/mol of formula units): 128.3
DFT formation energy (eV/atom): 1.081

a b c (Å): 3.574 3.574 9.509
angles (deg): 90.00 90.00 120.00
Element x y z (fractional)
Ba: 0.667 0.333 0.713
Ba: 0.333 0.667 0.287
Ta: 0.000 0.000 0.000


Material: BaTa4
Method: DFT, GGA-PBE
State: optimized geometry

Summary:
ΔE to the lowest computed polymorph (kJ/mol of formula units): 0.0
DFT formation energy (eV/atom): 0.856

a b c (Å): 7.437 7.437 7.437
angles (deg): 146.94 146.94 47.45
Element x y z (fractional)
Ba: 0.000 0.000 0.000
Ta: 0.750 0.250 0.500
Ta: 0.250 0.750 0.500
Ta: 0.617 0.617 0.000
Ta: 0.383 0.383 0.000


Material: BaTa3
Method: DFT, GGA-PBE
State: optimized geometry

Summary:
ΔE to the lowest computed polymorph (kJ/mol of formula units): 32.2
DFT formation energy (eV/atom): 0.689

a b c (Å): 3.013 3.013 10.679
angles (deg): 90.00 90.00 109.24
Element x y z (fractional)
Ba: 0.000 0.000 0.000
Ta: 0.500 0.500 0.703
Ta: 0.000 0.000 0.500
Ta: 0.500 0.500 0.297


Material: Ba2Ta3
Method: DFT, GGA-PBE
State: optimized geometry

Summary:
ΔE to the lowest computed polymorph (kJ/mol of formula units): 0.0
DFT formation energy (eV/atom): 1.054

a b c (Å): 9.923 9.214 6.210
angles (deg): 77.39 64.97 37.64
Element x y z (fractional)
Ba: 0.391 0.504 0.295
Ba: 0.809 0.295 0.504
Ba: 0.746 0.859 0.441
Ba: 0.955 0.441 0.859
Ta: 0.289 0.457 0.884
Ta: 0.370 0.884 0.457
Ta: 0.793 0.961 0.880
Ta: 0.366 0.880 0.961
Ta: 0.140 0.860 0.860
Ta: 0.390 0.110 0.110


Material: Ba3Ta5
Method: DFT, GGA-PBE
State: optimized geometry

Summary:
DFT formation energy (eV/atom): 1.339

a b c (Å): 6.386 6.386 5.053
angles (deg): 90.00 90.00 102.82
Element x y z (fractional)
Ba: 0.500 0.500 0.000
Ba: 0.718 0.282 0.500
Ba: 0.282 0.718 0.500
Ta: 0.000 0.000 0.000
Ta: 0.000 0.500 0.000
Ta: 0.500 0.000 0.000
Ta: 0.167 0.167 0.500
Ta: 0.833 0.833 0.500


Material: Ba2Ta
Method: DFT, GGA-PBE
State: optimized geometry

Summary:
ΔE to the lowest computed polymorph (kJ/mol of formula units): 182.6
DFT formation energy (eV/atom): 1.268

a b c (Å): 5.968 5.968 7.566
angles (deg): 90.00 90.00 120.00
Site moments in Bohr magnetons follow the coordinates.
Element x y z (fractional)
Ba: 0.000 0.000 0.000  0.02
Ba: 0.000 0.000 0.500  0.02
Ba: 0.333 0.667 0.250  0.10
Ba: 0.667 0.333 0.750  0.10
Ta: 0.667 0.333 0.250  1.61
Ta: 0.333 0.667 0.750  1.61


Material: Ba2Ta
Method: DFT, GGA-PBE
State: optimized geometry

Summary:
ΔE to the lowest computed polymorph (kJ/mol of formula units): 169.9
DFT formation energy (eV/atom): 1.224

a b c (Å): 5.760 7.525 10.908
angles (deg): 90.00 90.00 90.00
Site moments in Bohr magnetons follow the coordinates.
Element x y z (fractional)
Ba: 0.250 0.042 0.792  0.09
Ba: 0.750 0.458 0.292  0.09
Ba: 0.250 0.542 0.708  0.09
Ba: 0.750 0.958 0.208  0.09
Ba: 0.250 0.171 0.430  0.10
Ba: 0.750 0.329 0.930  0.10
Ba: 0.250 0.671 0.070  0.10
Ba: 0.750 0.829 0.570  0.10
Ta: 0.250 0.674 0.402  1.64
Ta: 0.750 0.826 0.902  1.64
Ta: 0.250 0.174 0.098  1.64
Ta: 0.750 0.326 0.598  1.64


Material: BaTa3
Method: DFT, GGA-PBE
State: optimized geometry

Summary:
ΔE to the lowest computed polymorph (kJ/mol of formula units): 160.4
DFT formation energy (eV/atom): 1.021

a b c (Å): 7.359 4.893 10.717
angles (deg): 90.00 90.00 90.00
Element x y z (fractional)
Ba: 0.619 0.897 0.750
Ba: 0.119 0.603 0.250
Ba: 0.881 0.397 0.750
Ba: 0.381 0.103 0.250
Ta: 0.174 0.873 0.750
Ta: 0.674 0.627 0.250
Ta: 0.326 0.373 0.750
Ta: 0.826 0.127 0.250
Ta: 0.643 0.304 0.023
Ta: 0.143 0.196 0.977
Ta: 0.857 0.804 0.477
Ta: 0.357 0.696 0.523
Ta: 0.357 0.696 0.977
Ta: 0.857 0.804 0.023
Ta: 0.143 0.196 0.523
Ta: 0.643 0.304 0.477


Material: Ba2Ta
Method: DFT, GGA-PBE
State: optimized geometry

Summary:
ΔE to the lowest computed polymorph (kJ/mol of formula units): 23.5
DFT formation energy (eV/atom): 0.718

a b c (Å): 7.092 7.092 9.556
angles (deg): 78.12 78.12 33.95
Element x y z (fractional)
Ba: 0.966 0.966 0.015
Ba: 0.384 0.384 0.440
Ba: 0.622 0.622 0.666
Ba: 0.693 0.693 0.145
Ta: 0.883 0.883 0.723
Ta: 0.285 0.285 0.844


Material: Ba5Ta4
Method: DFT, GGA-PBE
State: optimized geometry

Summary:
ΔE to the lowest computed polymorph (kJ/mol of formula units): 170.2
DFT formation energy (eV/atom): 0.989

a b c (Å): 10.564 10.564 6.488
angles (deg): 90.00 90.00 120.00
Site moments in Bohr magnetons follow the coordinates.
Element x y z (fractional)
Ba: 0.000 0.646 0.250  0.09
Ba: 0.354 0.354 0.250  0.09
Ba: 0.646 0.000 0.250  0.09
Ba: 0.000 0.354 0.750  0.09
Ba: 0.646 0.646 0.750  0.09
Ba: 0.354 0.000 0.750  0.09
Ba: 0.667 0.333 0.000  -0.04
Ba: 0.333 0.667 0.500  -0.04
Ba: 0.333 0.667 0.000  -0.04
Ba: 0.667 0.333 0.500  -0.04
Ta: 0.000 0.000 0.000  -0.09
Ta: 0.000 0.000 0.500  -0.09
Ta: 0.000 0.207 0.250  0.45
Ta: 0.793 0.793 0.250  0.45
Ta: 0.207 0.000 0.250  0.45
Ta: 0.000 0.793 0.750  0.45
Ta: 0.207 0.207 0.750  0.45
Ta: 0.793 0.000 0.750  0.45


Material: BaTa3
Method: DFT, GGA-PBE
State: optimized geometry

Summary:
ΔE to the lowest computed polymorph (kJ/mol of formula units): 161.0
DFT formation energy (eV/atom): 1.023

a b c (Å): 6.695 6.695 4.660
angles (deg): 90.00 90.00 104.99
Element x y z (fractional)
Ba: 0.405 0.595 0.250
Ba: 0.595 0.405 0.750
Ta: 0.921 0.079 0.750
Ta: 0.079 0.921 0.250
Ta: 0.037 0.650 0.750
Ta: 0.963 0.350 0.250
Ta: 0.350 0.963 0.750
Ta: 0.650 0.037 0.250


Material: BaTa3
Method: DFT, GGA-PBE
State: optimized geometry

Summary:
ΔE to the lowest computed polymorph (kJ/mol of formula units): 0.0
DFT formation energy (eV/atom): 0.606

a b c (Å): 3.399 3.399 8.575
angles (deg): 90.00 90.00 90.00
Element x y z (fractional)
Ba: 0.000 0.000 0.000
Ta: 0.500 0.500 0.333
Ta: 0.000 0.000 0.500
Ta: 0.500 0.500 0.667


Material: BaTa3
Method: DFT, GGA-PBE
State: optimized geometry

Summary:
ΔE to the lowest computed polymorph (kJ/mol of formula units): 45.7
DFT formation energy (eV/atom): 0.724

a b c (Å): 4.466 3.034 7.533
angles (deg): 92.87 90.00 90.00
Element x y z (fractional)
Ba: 0.000 0.000 0.000
Ta: 0.500 0.887 0.661
Ta: 0.000 0.500 0.500
Ta: 0.500 0.113 0.339


Material: Ba2Ta
Method: DFT, GGA-PBE
State: optimized geometry

Summary:
ΔE to the lowest computed polymorph (kJ/mol of formula units): 303.9
DFT formation energy (eV/atom): 1.687

a b c (Å): 6.396 6.396 12.237
angles (deg): 90.00 90.00 120.00
Element x y z (fractional)
Ba: 0.000 0.000 0.000
Ba: 0.000 0.000 0.500
Ba: 0.831 0.662 0.250
Ba: 0.169 0.338 0.750
Ba: 0.338 0.169 0.250
Ba: 0.831 0.169 0.250
Ba: 0.169 0.831 0.750
Ba: 0.662 0.831 0.750
Ta: 0.333 0.667 0.003
Ta: 0.667 0.333 0.503
Ta: 0.667 0.333 0.997
Ta: 0.333 0.667 0.497


Material: Ba2Ta
Method: DFT, GGA-PBE
State: optimized geometry

Summary:
ΔE to the lowest computed polymorph (kJ/mol of formula units): 153.3
DFT formation energy (eV/atom): 1.167

a b c (Å): 5.969 5.969 3.440
angles (deg): 90.00 90.00 90.00
Element x y z (fractional)
Ba: 0.000 0.500 0.500
Ba: 0.500 0.000 0.500
Ta: 0.000 0.000 0.000


Material: BaTa3
Method: DFT, GGA-PBE
State: optimized geometry

Summary:
ΔE to the lowest computed polymorph (kJ/mol of formula units): 129.7
DFT formation energy (eV/atom): 0.942

a b c (Å): 7.182 7.182 4.947
angles (deg): 90.00 90.00 120.00
Element x y z (fractional)
Ba: 0.333 0.667 0.250
Ba: 0.667 0.333 0.750
Ta: 0.874 0.749 0.250
Ta: 0.251 0.126 0.250
Ta: 0.874 0.126 0.250
Ta: 0.126 0.251 0.750
Ta: 0.749 0.874 0.750
Ta: 0.126 0.874 0.750


Material: BaTa3
Method: DFT, GGA-PBE
State: optimized geometry

Summary:
ΔE to the lowest computed polymorph (kJ/mol of formula units): 309.6
DFT formation energy (eV/atom): 1.408

a b c (Å): 4.465 4.465 4.465
angles (deg): 90.00 90.00 90.00
Element x y z (fractional)
Ba: 0.000 0.000 0.000
Ta: 0.000 0.500 0.500
Ta: 0.500 0.000 0.500
Ta: 0.500 0.500 0.000


Material: BaTa3
Method: DFT, GGA-PBE
State: optimized geometry

Summary:
ΔE to the lowest computed polymorph (kJ/mol of formula units): 237.2
DFT formation energy (eV/atom): 1.220

a b c (Å): 5.053 5.053 3.345
angles (deg): 90.00 90.00 90.00
Element x y z (fractional)
Ba: 0.000 0.000 0.000
Ta: 0.500 0.000 0.500
Ta: 0.500 0.500 0.000
Ta: 0.000 0.500 0.500


Material: Ba2Ta
Method: DFT, GGA-PBE
State: optimized geometry

Summary:
ΔE to the lowest computed polymorph (kJ/mol of formula units): 110.2
DFT formation energy (eV/atom): 1.018

a b c (Å): 9.038 9.038 9.038
angles (deg): 157.40 157.40 32.18
Element x y z (fractional)
Ba: 0.640 0.640 0.000
Ba: 0.360 0.360 0.000
Ta: 0.000 0.000 0.000


Material: Ba2Ta
Method: DFT, GGA-PBE
State: optimized geometry

Summary:
ΔE to the lowest computed polymorph (kJ/mol of formula units): 162.4
DFT formation energy (eV/atom): 1.198

a b c (Å): 6.024 6.024 3.207
angles (deg): 90.00 90.00 120.00
Element x y z (fractional)
Ba: 0.333 0.667 0.500
Ba: 0.667 0.333 0.500
Ta: 0.000 0.000 0.000


Material: BaTa4
Method: DFT, GGA-PBE
State: optimized geometry

Summary:
ΔE to the lowest computed polymorph (kJ/mol of formula units): 1082.6
DFT formation energy (eV/atom): 3.100

a b c (Å): 4.989 4.989 4.989
angles (deg): 90.00 90.00 90.00
Element x y z (fractional)
Ba: 0.500 0.500 0.500
Ta: 0.000 0.000 0.000
Ta: 0.500 0.000 0.500
Ta: 0.000 0.500 0.500
Ta: 0.500 0.500 0.000


Material: BaTa3
Method: DFT, GGA-PBE
State: optimized geometry

Summary:
ΔE to the lowest computed polymorph (kJ/mol of formula units): 207.0
DFT formation energy (eV/atom): 1.142

a b c (Å): 5.925 5.925 5.925
angles (deg): 117.34 117.34 117.34
Element x y z (fractional)
Ba: 0.000 0.000 0.000
Ta: 0.500 0.500 0.000
Ta: 0.000 0.500 0.500
Ta: 0.500 0.000 0.500


no.,total moment (Bohr magnetons per cell)
1,0.6
2,0.0
3,0.0
4,0.0
5,0.0
6,0.0
7,0.0
8,0.0
9,0.0
10,0.0
11,5.7
12,12.0
13,0.0
14,0.0
15,4.1
16,0.0
17,0.0
18,0.0
19,0.0
20,0.1
21,0.0
22,0.0
23,0.0
24,0.0
25,0.0
26,0.0
27,0.0